1.
! CrAsPb2 | Alexandria | GGA-PBE | optimized geometry; values from VASP
&SYSTEM
  ibrav = 0, nat = 4, ntyp = 3
/
ATOMIC_SPECIES
Cr 52.00 Cr.upf
As 74.92 As.upf
Pb 207.20 Pb.upf
ATOMIC_POSITIONS crystal
Cr 0.000 0.000 0.000
As 0.500 0.141 0.141
Pb 0.000 0.720 0.720
Pb 0.500 0.417 0.417
CELL_PARAMETERS angstrom
3.902 0.000 0.000
0.000 2.270 5.540
0.000 -2.270 5.540
! **Calculated density**: 9.16 g/cm³
! **Crystal system**: orthorhombic
! **Magnetic moment**: 3.502 μB/f.u.
! **Formation energy from the elements**: 0.1992 eV/atom

2.
! Sc2ReAg | Alexandria | GGA-PBE | optimized geometry; values from VASP
&SYSTEM
  ibrav = 0, nat = 4, ntyp = 3
/
ATOMIC_SPECIES
Sc 44.96 Sc.upf
Re 186.21 Re.upf
Ag 107.87 Ag.upf
ATOMIC_POSITIONS crystal
Sc 0.000 0.000 0.000
Sc 0.250 0.250 0.250
Re 0.750 0.750 0.750
Ag 0.500 0.500 0.500
CELL_PARAMETERS angstrom
0.000 3.323 3.323
3.323 0.000 3.323
3.323 3.323 0.000
! **Calculated density**: 8.69 g/cm³
! **Crystal system**: cubic
! **Magnetic moment**: 0.000 μB/f.u.
! **Formation energy from the elements**: 0.2770 eV/atom

3.
! Ca3H3N | Alexandria | GGA-PBE | optimized geometry; values from VASP
&SYSTEM
  ibrav = 0, nat = 14, ntyp = 3
/
ATOMIC_SPECIES
Ca 40.08 Ca.upf
H 1.01 H.upf
N 14.01 N.upf
ATOMIC_POSITIONS crystal
Ca 0.031 0.426 0.804
Ca 0.196 0.969 0.574
Ca 0.426 0.804 0.031
Ca 0.574 0.196 0.969
Ca 0.804 0.031 0.426
Ca 0.969 0.574 0.196
H 0.109 0.664 0.366
H 0.336 0.634 0.891
H 0.366 0.109 0.664
H 0.634 0.891 0.336
H 0.664 0.366 0.109
H 0.891 0.336 0.634
N 0.167 0.167 0.167
N 0.833 0.833 0.833
CELL_PARAMETERS angstrom
3.248 1.875 5.930
-3.248 1.875 5.930
0.000 -3.751 5.930
! **Calculated density**: 2.10 g/cm³
! **Crystal system**: trigonal
! **Energy above the lowest structure with this stoichiometry**: 0 meV/atom
! **Magnetic moment**: 0.007 μB/f.u.